Record 1
Density functional theory data (PBE) for ZnCoGeN2 after structural relaxation.

Its total energy is -0.18343 hartree per atom. The calculation puts the uncorrected formation energy at 453 kJ/mol of formula units. As for the volume: 13.7 A^3/atom.

It has space group P4/mmm (No. 123), with a = 3.588 Å, b = 3.588 Å, c = 5.304 Å, α = 90.00°, β = 90.00° and γ = 90.00°. Symmetry generates all atoms from Zn at (0.000, 0.000, 0.000), Co at (0.500, 0.500, 0.500), Ge at (0.500, 0.500, 0.000) and N at (0.000, 0.500, 0.500).

Record 2
Density functional theory data (PBE) for NaCo3Ge after structural relaxation.

The formation energy is 0.768 eV/atom. Its total energy is -0.17210 hartree per atom. As for the volume: 17.8 A^3/atom. Its offset from the most stable computed form is 0 meV per atom.

It has space group Pm-3m (No. 221), with a = 4.463 Å, b = 4.463 Å, c = 4.463 Å, α = 90.00°, β = 90.00° and γ = 90.00°. Symmetry generates all atoms from Na at (0.000, 0.000, 0.000), Co at (0.000, 0.500, 0.500) and Ge at (0.500, 0.500, 0.500).

Record 3
Density functional theory data (PBE) for NaCoGe4 after structural relaxation.

The formation energy is 0.232 eV/atom. Its total energy is -0.15619 hartree per atom. As for the volume: 21.6 A^3/atom.

It has space group P4_2/nmc (No. 137, origin choice 2), with a = 5.162 Å, b = 5.162 Å, c = 9.729 Å, α = 90.00°, β = 90.00° and γ = 90.00°. Symmetry generates all atoms from Na at (0.250, 0.750, 0.250), Co at (0.250, 0.750, 0.750) and Ge at (0.004, 0.250, 0.056).

Record 4
Density functional theory data (PBE) for Na2CoGe2 after structural relaxation.

The formation energy is 0.490 eV/atom. Its total energy is -0.12150 hartree per atom. As for the volume: 18.6 A^3/atom. Its offset from the most stable computed form is 467 meV per atom.

It has space group I4/mmm (No. 139), with a = 3.655 Å, b = 3.655 Å, c = 13.923 Å, α = 90.00°, β = 90.00° and γ = 90.00°. Symmetry generates all atoms from Na at (0.000, 0.500, 0.250), Co at (0.000, 0.000, 0.000) and Ge at (0.000, 0.000, 0.414).

Record 5
Density functional theory data (PBE) for NaCo3Ge3 after structural relaxation.

The formation energy is 0.219 eV/atom. Its total energy is -0.18351 hartree per atom. As for the volume: 19.1 A^3/atom.

It has space group Pm-3n (No. 223), with a = 6.447 Å, b = 6.447 Å, c = 6.447 Å, α = 90.00°, β = 90.00° and γ = 90.00°. Symmetry generates all atoms from Na at (0.000, 0.000, 0.000), Co at (0.000, 0.250, 0.500) and Ge at (0.000, 0.500, 0.250).

Record 6
Density functional theory data (PBE) for NaCo3Ge after structural relaxation.

The formation energy is 1.827 eV/atom. Its total energy is -0.13318 hartree per atom. As for the volume: 16.5 A^3/atom. Its offset from the most stable computed form is 1059 meV per atom.

It has space group Pm-3m (No. 221), with a = 4.353 Å, b = 4.353 Å, c = 4.353 Å, α = 90.00°, β = 90.00° and γ = 90.00°. Symmetry generates all atoms from Na at (0.000, 0.000, 0.000), Co at (0.000, 0.000, 0.500) and Ge at (0.500, 0.500, 0.500).

Record 7
Density functional theory data (PBE) for Na2CoGe2 after structural relaxation.

The formation energy is 0.023 eV/atom. Its total energy is -0.13866 hartree per atom. As for the volume: 19.6 A^3/atom. Its offset from the most stable computed form is 0 meV per atom.

It has space group P4/mbm (No. 127), with a = 6.207 Å, b = 6.207 Å, c = 5.090 Å, α = 90.00°, β = 90.00° and γ = 90.00°. Symmetry generates all atoms from Na at (0.176, 0.324, 0.000), Co at (0.000, 0.000, 0.500) and Ge at (0.158, 0.658, 0.500).

Record 8
Density functional theory data (PBE) for Na2CoGe after structural relaxation.

The formation energy is 0.387 eV/atom. Its total energy is -0.11772 hartree per atom. As for the volume: 31.8 A^3/atom.

It has space group I-42d (No. 122), with a = 10.723 Å, b = 10.723 Å, c = 4.420 Å, α = 90.00°, β = 90.00° and γ = 90.00°. Symmetry generates all atoms from Na at (0.069, 0.250, 0.125), Co at (0.000, 0.000, 0.000) and Ge at (0.000, 0.000, 0.500).

Q: Look up the volume of the first one.
A: 13.7 A^3/atom